Entry 1:
# Ba3Na2Ag2Hg4 (PBE, optimized geometry)
data_Ba3Na2Ag2Hg4
_chemical_formula_sum 'Ba3 Na2 Ag2 Hg4'
_space_group_name_H-M_alt 'P -3 m 1'
_space_group_IT_number 164
_space_group_name_Hall '-P 3 2"'
_cell_length_a 5.0620
_cell_length_b 5.0620
_cell_length_c 16.9400
_cell_angle_alpha 90.00
_cell_angle_beta 90.00
_cell_angle_gamma 120.00
loop_
_atom_site_label
_atom_site_fract_x
_atom_site_fract_y
_atom_site_fract_z
Ba1 0.0000 0.0000 0.0000
Ba2 0.0000 0.0000 0.2530
Na1 0.3333 0.6667 0.5605
Ag1 0.3333 0.6667 0.1293
Hg1 0.3333 0.6667 0.3696
Hg2 0.3333 0.6667 0.8713
# Energy of formation   -330 meV per atom

---

Entry 2:
# BaNa2AgHg (PBE, optimized geometry)
data_BaNa2AgHg
_chemical_formula_sum 'Ba1 Na2 Ag1 Hg1'
_space_group_name_H-M_alt 'P 4/m m m'
_space_group_IT_number 123
_space_group_name_Hall '-P 4 2'
_cell_length_a 5.615
_cell_length_b 5.615
_cell_length_c 5.497
_cell_angle_alpha 90.00
_cell_angle_beta 90.00
_cell_angle_gamma 90.00
loop_
_atom_site_label
_atom_site_fract_x
_atom_site_fract_y
_atom_site_fract_z
Ba1 0.000 0.000 0.000
Na1 0.000 0.500 0.500
Ag1 0.500 0.500 0.500
Hg1 0.500 0.500 0.000
# Energy of formation   -52 meV per atom

---

Entry 3:
# Ba2NaAg3Hg12 (PBE, optimized geometry)
data_Ba2NaAg3Hg12
_chemical_formula_sum 'Ba6 Na3 Ag9 Hg36'
_space_group_name_H-M_alt 'R -3 m'
_space_group_IT_number 166
_space_group_name_Hall '-R 3 2"'
_cell_length_a 10.2521
_cell_length_b 10.2521
_cell_length_c 19.5051
_cell_angle_alpha 90.00
_cell_angle_beta 90.00
_cell_angle_gamma 120.00
loop_
_atom_site_label
_atom_site_fract_x
_atom_site_fract_y
_atom_site_fract_z
Ba1 0.0000 0.0000 0.1048
Na1 0.0000 0.0000 0.5000
Ag1 0.0000 0.5000 0.0000
Hg1 0.0087 0.5044 0.8568
Hg2 0.0213 0.5107 0.3164
# Energy of formation   -41 meV per atom

---

Question: What is the energy of formation in the first record?
Answer: -330 meV per atom